(1)
Computed, not measured: a relaxed LaAg2Au2 crystal at the PBE level of DFT.

The value obtained for the excess energy over the best structure of this formula in the dataset is 172.6 meV/atom. The formation energy is -1.304 eV/f.u.

The structure belongs to space group P4/mbm (No. 127); the cell edges are 8.058, 8.058 and 3.290 Å and the angles 90.00°, 90.00° and 90.00°. The distinct sites, in fractional coordinates, are La at (0.000, 0.000, 0.000), Ag at (0.120, 0.380, 0.000) and Au at (0.177, 0.677, 0.500).



(2)
Computed, not measured: a relaxed ScTa2Pb crystal at the PBE level of DFT.

The formation energy is 0.988 eV/f.u.

The structure belongs to space group Imm2 (No. 44); the cell edges are 3.744, 4.789 and 9.200 Å and the angles 90.00°, 90.00° and 90.00°. The distinct sites, in fractional coordinates, are Sc at (0.000, 0.000, 0.000), Ta at (0.000, 0.000, 0.475), Ta at (0.000, 0.500, 0.752) and Pb at (0.000, 0.500, 0.237).



(3)
Computed, not measured: a relaxed CsMgSbAs crystal at the PBE level of DFT.

The uncorrected formation energy comes out at -0.45 eV per atom.

The structure belongs to space group P4/nmm (No. 129, origin choice 2); the cell edges are 4.367, 4.367 and 14.692 Å and the angles 90.00°, 90.00° and 90.00°. The distinct sites, in fractional coordinates, are Cs at (0.250, 0.250, 0.249), Mg at (0.250, 0.750, 0.000), Sb at (0.250, 0.750, 0.500) and As at (0.250, 0.250, 0.892).